Mn2CrPb | PBE-GGA | optimized geometry

Values from the calculation:
Spin magnetization: 2.1 μB/f.u.
ΔE_f: 421 meV/atom

```
Mn2CrPb
1.0
-1.930 1.540 -4.112
-1.122 -3.901 -2.554
-1.066 1.135 4.536
Cr Mn Pb
1 2 1
direct
0.250 0.750 0.500 Cr
0.000 0.000 0.000 Mn
0.500 0.500 0.000 Mn
0.750 0.250 0.500 Pb
```